[1]
VASP calculation (SCAN) on SrMn2Cu at its PBEsol-relaxed geometry.

POSCAR file:
```
SrMn2Cu
1.0
-1.720 0.611 3.971
3.576 -0.880 1.684
1.035 3.912 -0.153
Cu Mn Sr
1 2 1
direct
0.500 0.000 0.000
0.000 0.500 0.000
0.000 0.000 0.500
0.500 0.500 0.500
```

Computed properties:
- E: -1.322 Ry/atom
- Energy above the lowest structure with this stoichiometry: 0.173 eV per atom
- Calculated volume: 71.7 Å³/cell
- D(E_F): 3.2 states/eV/cell

---

[2]
VASP calculation (SCAN) on Sr2MnCu at its PBEsol-relaxed geometry.

POSCAR file:
```
Sr2MnCu
1.0
3.749 0.000 0.000
0.000 5.318 0.000
0.000 0.000 5.318
Mn Sr Cu
1 2 1
direct
0.500 0.500 0.500
0.000 0.500 0.000
0.000 0.000 0.500
0.500 0.000 0.000
```

Computed properties:
- E: -1.416 Ry/atom
- Calculated volume: 106.0 Å³/cell
- D(E_F): 2.9 states/eV/cell

---

[3]
VASP calculation (SCAN) on Ta3MnCu at its PBEsol-relaxed geometry.

POSCAR file:
```
Ta3MnCu
1.0
-2.311 -2.208 -3.162
2.084 -3.817 1.142
-3.245 -0.879 2.985
Mn Cu Ta
1 1 3
direct
0.000 0.000 0.000
0.500 0.500 0.500
0.000 0.000 0.500
0.500 0.000 0.000
0.000 0.500 0.000
```

Computed properties:
- E: -3.354 Ry/atom
- Calculated volume: 90.9 Å³/cell
- D(E_F): 4.2 states/eV/cell

---

[4]
VASP calculation (SCAN) on MnCuTc2 at its PBEsol-relaxed geometry.

POSCAR file:
```
MnCuTc2
1.0
-2.294 -0.313 -1.092
1.576 -3.672 -2.260
-1.771 -1.193 4.064
Cu Mn Tc
1 1 2
direct
0.500 0.000 0.000
0.500 0.500 0.500
0.000 0.000 0.500
0.000 0.500 0.000
```

Computed properties:
- E: -1.893 Ry/atom
- Calculated volume: 50.3 Å³/cell
- D(E_F): 3.1 states/eV/cell

---

[5]
VASP calculation (SCAN) on MnCu2Tc at its PBEsol-relaxed geometry.

POSCAR file:
```
MnCu2Tc
1.0
-2.176 -1.259 -0.031
1.604 -0.363 4.077
-2.293 3.948 0.605
Cu Mn Tc
2 1 1
direct
0.997 0.995 0.981
0.250 0.500 0.765
0.504 0.009 0.487
0.748 0.497 0.267
```

Computed properties:
- E: -1.529 Ry/atom
- Calculated volume: 48.3 Å³/cell
- D(E_F): 2.6 states/eV/cell

---

[6]
VASP calculation (SCAN) on Mn2CuTe at its PBEsol-relaxed geometry.

POSCAR file:
```
Mn2CuTe
1.0
-3.175 2.198 -0.813
0.163 -1.112 -3.644
-2.259 -2.965 0.803
Mn Te Cu
2 1 1
direct
0.000 0.000 0.500
0.000 0.500 0.000
0.500 0.500 0.500
0.500 0.000 0.000
```

Computed properties:
- E: -1.635 Ry/atom
- Calculated volume: 57.4 Å³/cell
- D(E_F): 2.0 states/eV/cell
- Formation energy from raw total energies: -0.2 kJ/mol of formula units

---

Q: Number 4 is which compound?
A: MnCuTc2

---

Q: Which of these has the lowest calculated volume?
A: MnCu2Tc

---

Q: Number 6 is which compound?
A: Mn2CuTe